# MgP2O2, relaxed, DFT PBE
data_MgP2O2
_symmetry_space_group_name_H-M 'P 4/m m m'
_symmetry_Int_Tables_number 123
_symmetry_space_group_name_Hall '-P 4 2'
_cell_length_a 4.8201
_cell_length_b 4.8201
_cell_length_c 3.6038
_cell_angle_alpha 90.00
_cell_angle_beta 90.00
_cell_angle_gamma 90.00
loop_
_atom_site_label
_atom_site_type_symbol
_atom_site_fract_x
_atom_site_fract_y
_atom_site_fract_z
_atom_site_occupancy
Mg1 Mg 0.0000 0.0000 0.0000 1
P1 P 0.0000 0.5000 0.0000 1
O1 O 0.0000 0.0000 0.5000 1
O2 O 0.5000 0.5000 0.5000 1
# Excess energy over the best structure of this formula in the dataset (meV/atom): 1546
# DOS(E_F) (states/eV/cell): 3.44
# Formation energy without anion corrections (eV/atom): 0.851